#one
Entry from the Alexandria database: a geometry-optimized Pm2Er6Zr structure (PBE).

Its space group is C2/c. The value obtained for the mass density is 8.38 g/cm³.

Unit cell a=10.0035 b=10.0035 c=5.8886 alpha=96.63 beta=96.63 gamma=70.22
Closest atoms and distances in Å follow each position.
Fractional positions:
Pm: 0.0700 0.2773 0.0629  10 Er 3.39-3.73, 2 Pm 3.79
Pm: 0.2773 0.0700 0.5629  10 Er 3.39-3.73, 2 Pm 3.79
Pm: 0.7227 0.9300 0.4371  10 Er 3.39-3.73, 2 Pm 3.79
Pm: 0.9300 0.7227 0.9371  10 Er 3.39-3.73, 2 Pm 3.79
Er: 0.0847 0.8117 0.4849  1 Zr 3.22, 4 Er 3.34-3.56, 3 Pm 3.40-3.57
Er: 0.1541 0.4411 0.6404  4 Er 3.23-3.42, 1 Zr 3.29, 3 Pm 3.39-3.49
Er: 0.1883 0.9153 0.0151  1 Zr 3.22, 4 Er 3.34-3.56, 3 Pm 3.40-3.57
Er: 0.2845 0.5095 0.1887  3 Zr 3.20-3.49, 5 Er 3.33-3.42
Er: 0.4411 0.1541 0.1404  4 Er 3.23-3.42, 1 Zr 3.29, 3 Pm 3.39-3.49
Er: 0.4905 0.7155 0.3113  3 Zr 3.20-3.49, 5 Er 3.33-3.42
Er: 0.5095 0.2845 0.6887  3 Zr 3.20-3.49, 5 Er 3.33-3.42
Er: 0.5589 0.8459 0.8596  4 Er 3.23-3.42, 1 Zr 3.29, 3 Pm 3.39-3.49
Er: 0.7155 0.4905 0.8113  3 Zr 3.20-3.49, 5 Er 3.33-3.42
Er: 0.8117 0.0847 0.9849  1 Zr 3.22, 4 Er 3.34-3.56, 3 Pm 3.40-3.57
Er: 0.8459 0.5589 0.3596  4 Er 3.23-3.42, 1 Zr 3.29, 3 Pm 3.39-3.49
Er: 0.9153 0.1883 0.5151  1 Zr 3.22, 4 Er 3.34-3.56, 3 Pm 3.40-3.57
Zr: 0.3759 0.6241 0.7500  10 Er 3.20-3.49
Zr: 0.6241 0.3759 0.2500  10 Er 3.20-3.49

=====

#two
Entry from the Alexandria database: a geometry-optimized Pm2Er6Zr structure (PBE).

Its space group is C2/m. The value obtained for the mass density is 8.49 g/cm³.

Unit cell a=9.5875 b=9.5875 c=3.4018 alpha=90.16 beta=90.16 gamma=59.96
Closest atoms and distances in Å follow each position.
Fractional positions:
Pm: 0.1667 0.1667 0.0000  2 Pm 3.40, 12 Er 3.65-3.66
Pm: 0.8333 0.8333 0.0000  2 Pm 3.40, 12 Er 3.65-3.66
Er: 0.1752 0.4999 0.5002  5 Er 3.11-3.40
Er: 0.1751 0.8249 0.5000  5 Er 3.12-3.40
Er: 0.4999 0.1752 0.5002  5 Er 3.11-3.40
Er: 0.5001 0.8248 0.4998  5 Er 3.11-3.40
Er: 0.8249 0.1751 0.5000  5 Er 3.12-3.40
Er: 0.8248 0.5001 0.4998  5 Er 3.11-3.40
Zr: 0.5000 0.5000 0.0000  2 Zr 3.40, 12 Er 3.54-3.55

=====

Quick one: most stable of them? #two

=====

#one
Entry from the Alexandria database: a geometry-optimized Pm2ErZr structure (PBE).

Its space group is P4/mmm. The value obtained for the mass density is 7.65 g/cm³.

Unit cell a=4.9364 b=4.9364 c=4.8887 alpha=90.00 beta=90.00 gamma=90.00
Closest atoms and distances in Å follow each position.
Fractional positions:
Pm: 0.0000 0.5000 0.0000  4 Zr 3.47, 4 Er 3.47, 4 Pm 3.49
Pm: 0.5000 0.0000 0.0000  4 Zr 3.47, 4 Er 3.47, 4 Pm 3.49
Er: 0.0000 0.0000 0.5000  8 Pm 3.47, 4 Zr 3.49
Zr: 0.5000 0.5000 0.5000  8 Pm 3.47, 4 Er 3.49

=====

#two
Entry from the Alexandria database: a geometry-optimized Pm2ErZr structure (PBE).

Its space group is R-3m. The value obtained for the mass density is 7.54 g/cm³.

Unit cell a=12.2465 b=12.2465 c=12.2465 alpha=15.94 beta=15.94 gamma=15.94
Closest atoms and distances in Å follow each position.
Fractional positions:
Pm: 0.0861 0.0861 0.0861  1 Zr 3.12, 6 Pm 3.40
Pm: 0.9139 0.9139 0.9139  1 Zr 3.12, 6 Pm 3.40
Er: 0.5000 0.5000 0.5000  6 Er 3.40, 6 Pm 3.52
Zr: 0.0000 0.0000 0.0000  2 Pm 3.12, 6 Zr 3.40

=====

Quick one: most stable of them? #one

=====

#one
Entry from the Alexandria database: a geometry-optimized Pr4Er3 structure (PBE).

Its space group is P-1. The value obtained for the mass density is 7.50 g/cm³.

Unit cell a=5.1300 b=6.2564 c=8.1357 alpha=97.40 beta=90.11 gamma=114.10
Closest atoms and distances in Å follow each position.
Fractional positions:
Pr: 0.1422 0.2841 0.4254  6 Er 3.60-3.65, 6 Pr 3.62-3.68
Pr: 0.2861 0.5720 0.8596  5 Pr 3.60-3.68, 7 Er 3.61-3.64
Pr: 0.7139 0.4280 0.1404  5 Pr 3.60-3.68, 7 Er 3.61-3.64
Pr: 0.8578 0.7159 0.5746  6 Er 3.60-3.65, 6 Pr 3.62-3.68
Er: 0.0000 0.0000 0.0000  8 Pr 3.61-3.62, 4 Er 3.63-3.64
Er: 0.4295 0.8587 0.2864  9 Pr 3.60-3.65, 3 Er 3.62-3.64
Er: 0.5705 0.1413 0.7136  9 Pr 3.60-3.65, 3 Er 3.62-3.64

=====

#two
Entry from the Alexandria database: a geometry-optimized Pr4Er3 structure (PBE).

Its space group is C2/m. The value obtained for the mass density is 7.40 g/cm³.

Unit cell a=8.7457 b=8.7457 c=8.8789 alpha=116.35 beta=116.35 gamma=23.28
Closest atoms and distances in Å follow each position.
Fractional positions:
Pr: 0.0803 0.0803 0.2070  4 Er 3.45-3.53, 7 Pr 3.45-3.85
Pr: 0.3606 0.3606 0.0939  8 Pr 3.53-3.85, 5 Er 3.62-3.74
Pr: 0.6394 0.6394 0.9061  8 Pr 3.53-3.85, 5 Er 3.62-3.74
Pr: 0.9197 0.9197 0.7930  4 Er 3.45-3.53, 7 Pr 3.45-3.85
Er: 0.0000 0.0000 0.5000  4 Er 3.39-3.53, 6 Pr 3.45-3.74
Er: 0.2202 0.2202 0.6421  5 Er 3.39-3.59, 6 Pr 3.50-3.67
Er: 0.7798 0.7798 0.3579  5 Er 3.39-3.59, 6 Pr 3.50-3.67

=====

Quick one: most stable of them? #one

=====

#one
Entry from the Alexandria database: a geometry-optimized PrEr5 structure (PBE).

Its space group is P2_1/m. The value obtained for the mass density is 8.64 g/cm³.

Unit cell a=6.1262 b=10.6061 c=6.1304 alpha=90.00 beta=109.34 gamma=90.00
Closest atoms and distances in Å follow each position.
Fractional positions:
Pr: 0.2502 0.2500 0.0005  12 Er 3.53-3.54
Pr: 0.7498 0.7500 0.9995  12 Er 3.53-3.54
Er: 0.2501 0.0825 0.5003  10 Er 3.53-3.55, 2 Pr 3.54
Er: 0.2501 0.4175 0.5003  10 Er 3.53-3.55, 2 Pr 3.54
Er: 0.2499 0.5829 0.9999  9 Er 3.53-3.54, 3 Pr 3.53-3.54
Er: 0.2497 0.7500 0.4998  10 Er 3.53-3.54, 2 Pr 3.54
Er: 0.2499 0.9171 0.9999  9 Er 3.53-3.54, 3 Pr 3.53-3.54
Er: 0.7501 0.0829 0.0001  9 Er 3.53-3.54, 3 Pr 3.53-3.54
Er: 0.7503 0.2500 0.5002  10 Er 3.53-3.54, 2 Pr 3.54
Er: 0.7501 0.4171 0.0001  9 Er 3.53-3.54, 3 Pr 3.53-3.54
Er: 0.7499 0.5825 0.4997  10 Er 3.53-3.55, 2 Pr 3.54
Er: 0.7499 0.9175 0.4997  10 Er 3.53-3.55, 2 Pr 3.54

=====

#two
Entry from the Alexandria database: a geometry-optimized PrEr5 structure (PBE).

Its space group is Amm2. The value obtained for the mass density is 8.39 g/cm³.

Unit cell a=9.5619 b=6.0856 c=6.0856 alpha=33.12 beta=90.00 gamma=90.00
Closest atoms and distances in Å follow each position.
Fractional positions:
Pr: 0.0000 0.0000 0.0000  2 Pr 3.47, 10 Er 3.60-3.64
Er: 0.1826 0.2742 0.2742  8 Er 3.39-3.53, 3 Pr 3.61-3.64
Er: 0.3259 0.5400 0.5400  9 Er 3.33-3.65, 2 Pr 3.60
Er: 0.5000 0.8180 0.8180  12 Er 3.47-3.65
Er: 0.6741 0.5400 0.5400  9 Er 3.33-3.65, 2 Pr 3.60
Er: 0.8174 0.2742 0.2742  8 Er 3.39-3.53, 3 Pr 3.61-3.64

=====

Quick one: most stable of them? #one